No. 1
Computed, not measured: crystalline RbCa2In at its relaxed geometry at the GGA-PBE level of DFT.

Computed properties:
Final energy ... -1.688 eV/atom
Calculated volume ... 43.21 Å³ per atom
N(E_F) ... 1.1198 states/eV per atom
E_form ... 0.2395 eV per atom

a = 5.2971 Å, b = 5.2971 Å, c = 12.8765 Å
α = 78.13°, β = 78.13°, γ = 90.00°
Last column: nearest neighbours and their distance in Å.
Element x y z (fractional)
Ca  0.6553  0.1250  0.2500  2 Ca 3.53, 2 In 3.55, 2 Rb 3.67
Ca  0.3750  0.3447  0.7500  2 Ca 3.53, 2 In 3.55, 2 Rb 3.67
Ca  0.8750  0.9053  0.7500  2 Ca 3.53, 2 In 3.55, 2 Rb 3.67
Ca  0.0947  0.6250  0.2500  2 Ca 3.53, 2 In 3.55, 2 Rb 3.67
Rb  0.2500  0.7500  0.5000  4 Ca 3.67, 4 In 3.75
Rb  0.5000  0.5000  0.0000  4 Ca 3.67, 4 In 3.75
In  0.7500  0.2500  0.5000  4 Ca 3.55, 4 Rb 3.75
In  0.0000  0.0000  0.0000  4 Ca 3.55, 4 Rb 3.75

No. 2
Computed, not measured: crystalline RbCaIn at its relaxed geometry at the GGA-PBE level of DFT.

Computed properties:
Final energy ... -2.056 eV/atom
Calculated volume ... 44.17 Å³ per atom
N(E_F) ... 0.8774 states/eV per atom
E_form ... -0.1533 eV per atom

a = 4.2631 Å, b = 4.2653 Å, c = 14.5737 Å
α = 90.00°, β = 90.35°, γ = 90.00°
Last column: nearest neighbours and their distance in Å.
Element x y z (fractional)
Rb  0.2580  0.2500  0.8502  1 Ca 3.94, 4 In 3.97-3.98, 4 Rb 4.26-4.27
Rb  0.7420  0.7500  0.1498  1 Ca 3.94, 4 In 3.97-3.98, 4 Rb 4.26-4.27
Ca  0.2518  0.2500  0.5801  5 In 3.30-3.68
Ca  0.7482  0.7500  0.4199  5 In 3.30-3.68
In  0.2464  0.2500  0.3275  5 Ca 3.30-3.68
In  0.7536  0.7500  0.6725  5 Ca 3.30-3.68